[1]
## NaY4Se6 (PBE)

Data for crystalline NaY4Se6 at its relaxed geometry.

Cell: 7.0960 7.0960 21.3223 Å, 90.00 90.00 146.51°
Element x y z (fractional)
Na (0.1587, 0.8413, 0.7500)
Na (0.8413, 0.1587, 0.2500)
Y (0.0948, 0.9052, 0.1365)
Y (0.0948, 0.9052, 0.3635)
Y (0.3664, 0.6336, 0.0432)
Y (0.3664, 0.6336, 0.4568)
Y (0.6336, 0.3664, 0.5432)
Y (0.6336, 0.3664, 0.9568)
Y (0.9052, 0.0948, 0.6365)
Y (0.9052, 0.0948, 0.8635)
Se (0.0000, 0.0000, 0.0000)
Se (0.0000, 0.0000, 0.5000)
Se (0.1853, 0.8147, 0.2500)
Se (0.2744, 0.7256, 0.5812)
Se (0.2744, 0.7256, 0.9188)
Se (0.4572, 0.5428, 0.1607)
Se (0.4572, 0.5428, 0.3393)
Se (0.5428, 0.4572, 0.6607)
Se (0.5428, 0.4572, 0.8393)
Se (0.7256, 0.2744, 0.0812)
Se (0.7256, 0.2744, 0.4188)
Se (0.8147, 0.1853, 0.7500)

[2]
## Na2YSe (PBE)

Data for crystalline Na2YSe at its relaxed geometry.

Cell: 7.3031 7.3031 7.3031 Å, 98.40 98.40 135.07°
Element x y z (fractional)
Na (0.0462, 0.6250, 0.9212)
Na (0.3750, 0.2962, 0.4212)
Na (0.7038, 0.1250, 0.0788)
Na (0.8750, 0.9538, 0.5788)
Y (0.2500, 0.7500, 0.5000)
Y (0.5000, 0.5000, 0.0000)
Se (0.0000, 0.0000, 0.0000)
Se (0.7500, 0.2500, 0.5000)

[3]
## Na2Y2Se (PBE)

Data for crystalline Na2Y2Se at its relaxed geometry.

Cell: 7.4435 7.4435 6.2361 Å, 90.00 90.00 90.00°
Element x y z (fractional)
Na (0.1508, 0.3492, 0.0000)
Na (0.3492, 0.8492, 0.0000)
Na (0.6508, 0.1508, 0.0000)
Na (0.8492, 0.6508, 0.0000)
Y (0.1636, 0.6636, 0.5000)
Y (0.3364, 0.1636, 0.5000)
Y (0.6636, 0.8364, 0.5000)
Y (0.8364, 0.3364, 0.5000)
Se (0.0000, 0.0000, 0.5000)
Se (0.5000, 0.5000, 0.5000)

It is found that the energy relative to the elements, uncorrected values, taken in the order of the records, are -1.7642; -0.4296; -0.3648 eV/atom.
It is found that the total DFT energy (no corrections) values, taken in the order of the records, are -134.98; -28.61; -41.75 eV/cell.